# 1
Density functional theory data (PBEsol) for a relaxed structure of LiTc4Ag.

Unit cell a=7.175 b=7.175 c=7.175 alpha=90.00 beta=90.00 gamma=90.00
Space group F-43m (No. 216)
Asymmetric unit:
1 Li 0.000 0.000 0.000 x4
2 Tc 0.125 0.125 0.375 x16
3 Ag 0.250 0.250 0.750 x4

E_tot = -0.575 Ry/atom
Energy of formation from the pure elements = 0.57 eV/atom

# 2
Density functional theory data (PBEsol) for a relaxed structure of Ca2Mg2Zn.

Unit cell a=6.625 b=14.310 c=5.641 alpha=90.00 beta=90.00 gamma=90.00
Space group Ibam (No. 72)
Asymmetric unit:
1 Ca 0.182 0.173 0.000 x8
2 Mg 0.162 0.426 0.000 x8
3 Zn 0.000 0.000 0.250 x4

E_tot = -0.144 Ry/atom
Offset from the most stable computed form = 8 meV/atom
Energy of formation from the pure elements = -0.11 eV/atom

# 3
Density functional theory data (PBEsol) for a relaxed structure of KCaAu2.

Unit cell a=3.688 b=3.688 c=7.713 alpha=90.00 beta=90.00 gamma=90.00
Space group P4/mmm (No. 123)
Asymmetric unit:
1 K 0.000 0.000 0.000 x1
2 Ca 0.000 0.000 0.500 x1
3 Au 0.500 0.500 0.304 x2

E_tot = -0.239 Ry/atom
Energy of formation from the pure elements = -0.47 eV/atom

# 4
Density functional theory data (PBEsol) for a relaxed structure of Rb2BrN.

Unit cell a=7.767 b=7.767 c=7.767 alpha=90.00 beta=90.00 gamma=90.00
Space group Fm-3m (No. 225)
Asymmetric unit:
1 Rb 0.250 0.250 0.250 x8
2 Br 0.000 0.000 0.000 x4
3 N 0.000 0.000 0.500 x4

E_tot = -0.230 Ry/atom
Energy relative to the elements, uncorrected = -0.02 eV/atom

# 5
Density functional theory data (PBEsol) for a relaxed structure of TlOs2Se.

Unit cell a=4.532 b=4.532 c=3.175 alpha=90.00 beta=90.00 gamma=90.00
Space group P4/mmm (No. 123)
Asymmetric unit:
1 Tl 0.000 0.000 0.000 x1
2 Os 0.000 0.500 0.500 x2
3 Se 0.500 0.500 0.000 x1

E_tot = -0.491 Ry/atom
Energy relative to the elements, uncorrected = 1.05 eV/atom
Offset from the most stable computed form = 0 meV/atom

# 6
Density functional theory data (PBEsol) for a relaxed structure of Dy3Ir2.

Unit cell a=11.055 b=11.055 c=24.786 alpha=90.00 beta=90.00 gamma=90.00
Space group I4/mcm (No. 140)
Asymmetric unit:
1 Dy 0.000 0.500 0.113 x8
2 Dy 0.000 0.500 0.250 x4
3 Dy 0.072 0.206 0.072 x32
4 Dy 0.079 0.211 0.306 x32
5 Dy 0.153 0.347 0.500 x8
6 Ir 0.000 0.000 0.000 x4
7 Ir 0.000 0.000 0.133 x8
8 Ir 0.000 0.000 0.250 x4
9 Ir 0.095 0.405 0.000 x8
10 Ir 0.154 0.346 0.187 x16
11 Ir 0.181 0.319 0.393 x16

E_tot = -0.565 Ry/atom
Energy of formation from the pure elements = -0.77 eV/atom

Please write out number 1 again, unchanged.
Density functional theory data (PBEsol) for a relaxed structure of LiTc4Ag.

Unit cell a=7.175 b=7.175 c=7.175 alpha=90.00 beta=90.00 gamma=90.00
Space group F-43m (No. 216)
Asymmetric unit:
1 Li 0.000 0.000 0.000 x4
2 Tc 0.125 0.125 0.375 x16
3 Ag 0.250 0.250 0.750 x4

E_tot = -0.575 Ry/atom
Energy of formation from the pure elements = 0.57 eV/atom

What did the sixth record say?
Density functional theory data (PBEsol) for a relaxed structure of Dy3Ir2.

Unit cell a=11.055 b=11.055 c=24.786 alpha=90.00 beta=90.00 gamma=90.00
Space group I4/mcm (No. 140)
Asymmetric unit:
1 Dy 0.000 0.500 0.113 x8
2 Dy 0.000 0.500 0.250 x4
3 Dy 0.072 0.206 0.072 x32
4 Dy 0.079 0.211 0.306 x32
5 Dy 0.153 0.347 0.500 x8
6 Ir 0.000 0.000 0.000 x4
7 Ir 0.000 0.000 0.133 x8
8 Ir 0.000 0.000 0.250 x4
9 Ir 0.095 0.405 0.000 x8
10 Ir 0.154 0.346 0.187 x16
11 Ir 0.181 0.319 0.393 x16

E_tot = -0.565 Ry/atom
Energy of formation from the pure elements = -0.77 eV/atom